Entry 1:
A geometry-optimized Pm5Er2Th structure, computed with GGA-PBE.

Calculated values
ΔH_f (0 K)	0.025	eV per atom
calculated volume	33.09	Å³ per atom
final energy	-80.19	eV/cell

a b c (Å): 7.2051 14.4154 5.0981
angles (deg): 90.00 90.00 90.00
Space group Pbam (No. 55)
Unique sites:
Pm  0.0000  0.0000  0.0000 [2 per cell]
Pm  0.0062  0.2515  0.0000 [4 per cell]
Pm  0.2482  0.3766  0.5000 [4 per cell]
Er  0.2406  0.6225  0.5000 [4 per cell]
Th  0.0000  0.5000  0.0000 [2 per cell]

---

Entry 2:
A geometry-optimized Pm5Er4Th structure, computed with GGA-PBE.

Calculated values
ΔH_f (0 K)	0.041	eV per atom
calculated volume	32.80	Å³ per atom
final energy	-98.03	eV/cell

a b c (Å): 17.0241 3.5384 11.4936
angles (deg): 90.00 108.64 90.00
Space group C2/m (No. 12)
Unique sites:
Pm  0.0000  0.0000  0.0000 [2 per cell]
Pm  0.1899  0.5000  0.0810 [4 per cell]
Pm  0.2033  0.5000  0.6118 [4 per cell]
Er  0.0813  0.5000  0.2962 [4 per cell]
Er  0.1050  0.0000  0.7981 [4 per cell]
Th  0.0000  0.0000  0.5000 [2 per cell]

---

Entry 3:
A geometry-optimized Pm2Er6Th structure, computed with GGA-PBE.

Calculated values
ΔH_f (0 K)	0.065	eV per atom
calculated volume	31.53	Å³ per atom
final energy	-43.71	eV/cell

a b c (Å): 9.7247 9.7247 3.4647
angles (deg): 90.00 90.00 120.00
Space group P6/mmm (No. 191)
Unique sites:
Pm  0.3333  0.6667  0.0000 [2 per cell]
Er  0.0000  0.3312  0.5000 [6 per cell]
Th  0.0000  0.0000  0.0000 [1 per cell]

---

Entry 4:
A geometry-optimized PmEr4Th5 structure, computed with GGA-PBE.

Calculated values
ΔH_f (0 K)	0.207	eV per atom
calculated volume	32.89	Å³ per atom
final energy	-116.06	eV/cell

a b c (Å): 22.3283 3.5241 8.3663
angles (deg): 90.00 92.28 90.00
Space group C2/m (No. 12)
Unique sites:
Pm  0.0000  0.0000  0.0000 [2 per cell]
Er  0.0923  0.5000  0.7432 [4 per cell]
Er  0.1793  0.0000  0.0102 [4 per cell]
Th  0.0000  0.0000  0.5000 [2 per cell]
Th  0.1150  0.5000  0.3283 [4 per cell]
Th  0.2355  0.5000  0.6634 [4 per cell]

---

Entry 5:
A geometry-optimized PmEr6Th4 structure, computed with GGA-PBE.

Calculated values
ΔH_f (0 K)	0.170	eV per atom
calculated volume	32.35	Å³ per atom
final energy	-119.87	eV/cell

a b c (Å): 3.4195 5.8368 35.6544
angles (deg): 90.00 90.00 90.00
Space group Immm (No. 71)
Unique sites:
Pm  0.0000  0.0000  0.0000 [2 per cell]
Er  0.0000  0.5000  0.1315 [4 per cell]
Er  0.0000  0.5000  0.2330 [4 per cell]
Er  0.0000  0.5000  0.4031 [4 per cell]
Th  0.0000  0.0000  0.1824 [4 per cell]
Th  0.0000  0.0000  0.4554 [4 per cell]

---

Entry 6:
A geometry-optimized Pm5Er5Th2 structure, computed with GGA-PBE.

Calculated values
ΔH_f (0 K)	0.035	eV per atom
calculated volume	32.46	Å³ per atom
final energy	-60.99	eV/cell

a b c (Å): 6.1829 7.9981 8.7846
angles (deg): 111.08 90.17 104.90
Space group P-1 (No. 2)
Unique sites:
Pm  0.0000  0.0000  0.0000 [1 per cell]
Pm  0.0828  0.7440  0.5820 [2 per cell]
Pm  0.2498  0.2564  0.7528 [2 per cell]
Er  0.3347  0.9961  0.3308 [2 per cell]
Er  0.4133  0.7473  0.9172 [2 per cell]
Er  0.5000  0.5000  0.5000 [1 per cell]
Th  0.1646  0.5025  0.1636 [2 per cell]

---

Please write out number 4 again, unchanged.
A geometry-optimized PmEr4Th5 structure, computed with GGA-PBE.

Calculated values
ΔH_f (0 K)	0.207	eV per atom
calculated volume	32.89	Å³ per atom
final energy	-116.06	eV/cell

a b c (Å): 22.3283 3.5241 8.3663
angles (deg): 90.00 92.28 90.00
Space group C2/m (No. 12)
Unique sites:
Pm  0.0000  0.0000  0.0000 [2 per cell]
Er  0.0923  0.5000  0.7432 [4 per cell]
Er  0.1793  0.0000  0.0102 [4 per cell]
Th  0.0000  0.0000  0.5000 [2 per cell]
Th  0.1150  0.5000  0.3283 [4 per cell]
Th  0.2355  0.5000  0.6634 [4 per cell]